1.
LiAcNdRh | PBE-GGA | optimized geometry

Geometry as POSCAR:
```
LiAcNdRh
1.0
0.000 3.711 3.711
3.711 0.000 3.711
3.711 3.711 0.000
Li Ac Nd Rh
1 1 1 1
direct
0.000 0.000 0.000
0.250 0.250 0.250
0.750 0.750 0.750
0.500 0.500 0.500
```

Properties
size of the total moment	0.00	μB per formula unit
ΔE_f	-0.277	eV per atom

***

2.
LiDyErBe | PBE-GGA | optimized geometry

Geometry as POSCAR:
```
LiDyErBe
1.0
0.000 3.506 3.506
3.506 0.000 3.506
3.506 3.506 0.000
Li Dy Er Be
1 1 1 1
direct
0.000 0.000 0.000
0.250 0.250 0.250
0.750 0.750 0.750
0.500 0.500 0.500
```

Properties
size of the total moment	0.00	μB per formula unit
ΔE_f	0.132	eV per atom

***

3.
CaPBr2 | PBE-GGA | optimized geometry

Geometry as POSCAR:
```
CaPBr2
1.0
-2.456 2.456 9.357
2.456 -2.456 9.357
2.456 2.456 -9.357
Ca P Br
2 2 4
direct
0.000 0.000 0.000
0.750 0.250 0.500
0.250 0.750 0.500
0.500 0.500 0.000
0.142 0.625 0.017
0.375 0.392 0.517
0.608 0.125 0.983
0.875 0.858 0.483
```

Properties
size of the total moment	0.00	μB per formula unit
energy relative to the lowest polymorph listed for this composition	344	meV per atom
E_form (uncorrected)	-0.51	eV per atom

***

4.
Li6Ca2Mg | PBE-GGA | optimized geometry

Geometry as POSCAR:
```
Li6Ca2Mg
1.0
0.000 4.876 4.876
4.876 0.000 4.876
4.876 4.876 0.000
Li Ca Mg
6 2 1
direct
0.215 0.215 0.785
0.215 0.785 0.215
0.215 0.785 0.785
0.785 0.215 0.215
0.785 0.215 0.785
0.785 0.785 0.215
0.250 0.250 0.250
0.750 0.750 0.750
0.500 0.500 0.500
```

Properties
size of the total moment	0.00	μB per formula unit
ΔE_f	0.068	eV per atom

***

5.
CrFeIr6 | PBE-GGA | optimized geometry

Geometry as POSCAR:
```
CrFeIr6
1.0
3.820 0.000 0.000
0.000 3.820 0.000
0.000 0.000 7.651
Cr Fe Ir
1 1 6
direct
0.000 0.000 0.000
0.000 0.000 0.500
0.000 0.500 0.247
0.000 0.500 0.753
0.500 0.000 0.247
0.500 0.000 0.753
0.500 0.500 0.000
0.500 0.500 0.500
```

Properties
size of the total moment	3.89	μB per formula unit
ΔE_f	-0.141	eV per atom

***

6.
Cd3GeAu12 | PBE-GGA | optimized geometry

Geometry as POSCAR:
```
Cd3GeAu12
1.0
4.175 0.000 0.000
0.000 4.175 0.000
0.000 0.000 17.051
Cd Ge Au
3 1 12
direct
0.000 0.000 0.000
0.000 0.000 0.252
0.000 0.000 0.748
0.000 0.000 0.500
0.000 0.500 0.126
0.000 0.500 0.377
0.000 0.500 0.623
0.000 0.500 0.874
0.500 0.000 0.126
0.500 0.000 0.377
0.500 0.000 0.623
0.500 0.000 0.874
0.500 0.500 0.000
0.500 0.500 0.250
0.500 0.500 0.500
0.500 0.500 0.750
```

Properties
size of the total moment	0.00	μB per formula unit
ΔE_f	-0.063	eV per atom

***

Number 1: E -19.2 eV/cell. Number 2: E -14.3 eV/cell. Number 3: E -25.6 eV/cell. Number 4: E -16.5 eV/cell. Number 5: E -72.4 eV/cell. Number 6: E -47.7 eV/cell.